1.
A relaxed CdIn2SbO6 crystal. Source: the Alexandria database, functional GGA-PBE.

Values from the calculation:
**DOS at the Fermi energy**: 1.63 states/eV per cell
**Formation energy (no corrections)**: -13.64 eV/f.u.

a = 5.9575 Å, b = 5.9575 Å, c = 5.9575 Å
α = 56.61°, β = 56.61°, γ = 56.61°
Last column: nearest neighbours and their distance in Å.
Fractional coordinates of all 10 atoms:
Cd 0.0000 0.0000 0.0000  6 O 2.28-2.54
In 0.2719 0.2719 0.2719  6 O 2.19-2.34
In 0.7811 0.7811 0.7811  6 O 2.18-2.29
Sb 0.4825 0.4825 0.4825  6 O 2.11-2.12
O 0.0992 0.6557 0.4068  1 Sb 2.12, 2 In 2.18-2.34, 1 Cd 2.28
O 0.1982 0.5712 0.8655  1 Sb 2.11, 2 In 2.19-2.29
O 0.4068 0.0992 0.6557  1 Sb 2.12, 2 In 2.18-2.34, 1 Cd 2.28
O 0.5712 0.8655 0.1982  1 Sb 2.11, 2 In 2.19-2.29
O 0.6557 0.4068 0.0992  1 Sb 2.12, 2 In 2.18-2.34, 1 Cd 2.28
O 0.8655 0.1982 0.5712  1 Sb 2.11, 2 In 2.19-2.29

***

2.
A relaxed Pr8Tl2Ag crystal. Source: the Alexandria database, functional GGA-PBE.

Values from the calculation:
**Formation energy from the elements**: -163 kJ/mol of formula units
**DOS at the Fermi energy**: 12.13 states/eV per cell
**ΔE to the lowest computed polymorph**: 0.021 eV per atom

a = 10.2195 Å, b = 10.2195 Å, c = 7.0598 Å
α = 104.21°, β = 104.21°, γ = 30.34°
Last column: nearest neighbours and their distance in Å.
Fractional coordinates of all 11 atoms:
Pr 0.0146 0.0146 0.2712  2 Ag 3.17, 1 Tl 3.33, 1 Pr 3.42
Pr 0.2076 0.2076 0.8119  3 Tl 3.26-3.55, 2 Pr 3.51
Pr 0.3451 0.3451 0.5143  1 Ag 3.08, 3 Tl 3.26-3.30
Pr 0.4080 0.4080 0.0301  1 Ag 3.35, 2 Tl 3.52, 3 Pr 3.54-3.56
Pr 0.5920 0.5920 0.9699  1 Ag 3.35, 2 Tl 3.52, 3 Pr 3.54-3.56
Pr 0.6549 0.6549 0.4857  1 Ag 3.08, 3 Tl 3.26-3.30
Pr 0.7924 0.7924 0.1881  3 Tl 3.26-3.55, 2 Pr 3.51
Pr 0.9854 0.9854 0.7288  2 Ag 3.17, 1 Tl 3.33, 1 Pr 3.42
Tl 0.1813 0.1813 0.2500  9 Pr 3.26-3.55
Tl 0.8187 0.8187 0.7500  9 Pr 3.26-3.55
Ag 0.5000 0.5000 0.5000  8 Pr 3.08-3.35

***

3.
A relaxed Sc2MnCl crystal. Source: the Alexandria database, functional GGA-PBE.

Values from the calculation:
**DOS at the Fermi energy**: 2.94 states/eV per cell
**Formation energy (no corrections)**: -1.19 eV/f.u.
**ΔE to the lowest computed polymorph**: 0.296 eV per atom

a = 3.1515 Å, b = 3.1515 Å, c = 9.2160 Å
α = 90.00°, β = 90.00°, γ = 90.00°
Last column: nearest neighbours and their distance in Å.
Fractional coordinates of all 4 atoms:
Sc 0.0000 0.0000 0.0000  4 Mn 2.87, 4 Sc 3.15
Sc 0.5000 0.5000 0.2785  4 Cl 2.71
Mn 0.5000 0.5000 0.8032  4 Sc 2.87, 4 Mn 3.15
Cl 0.0000 0.0000 0.4457  4 Sc 2.71

***

4.
A relaxed BIrS3 crystal. Source: the Alexandria database, functional GGA-PBE.

Values from the calculation:
**DOS at the Fermi energy**: 3.68 states/eV per cell
**Formation energy (no corrections)**: 4.91 eV/f.u.
**ΔE to the lowest computed polymorph**: 1.267 eV per atom

a = 4.0449 Å, b = 4.0449 Å, c = 4.0449 Å
α = 90.00°, β = 90.00°, γ = 90.00°
Last column: nearest neighbours and their distance in Å.
Fractional coordinates of all 5 atoms:
B 0.0000 0.0000 0.0000  6 S 2.02
Ir 0.5000 0.5000 0.5000  12 S 2.86
S 0.0000 0.0000 0.5000  2 B 2.02
S 0.0000 0.5000 0.0000  2 B 2.02
S 0.5000 0.0000 0.0000  2 B 2.02